{"formula": "Y3Sb4Rh8", "functional": "PBE", "state": "optimized geometry", "lattice": [[0.000, 6.505, 6.505], [6.505, 0.000, 6.505], [6.505, 6.505, 0.000]], "species": ["Y", "Y", "Y", "Y", "Y", "Y", "Sb", "Sb", "Sb", "Sb", "Sb", "Sb", "Sb", "Sb", "Rh", "Rh", "Rh", "Rh", "Rh", "Rh", "Rh", "Rh", "Rh", "Rh", "Rh", "Rh", "Rh", "Rh", "Rh", "Rh"], "fractional_positions": [[0.227, 0.227, 0.773], [0.227, 0.773, 0.227], [0.227, 0.773, 0.773], [0.773, 0.227, 0.227], [0.773, 0.227, 0.773], [0.773, 0.773, 0.227], [0.000, 0.000, 0.000], [0.000, 0.000, 0.500], [0.000, 0.500, 0.000], [0.000, 0.500, 0.500], [0.500, 0.000, 0.000], [0.500, 0.000, 0.500], [0.500, 0.500, 0.000], [0.500, 0.500, 0.500], [0.139, 0.620, 0.620], [0.166, 0.166, 0.166], [0.166, 0.166, 0.503], [0.166, 0.503, 0.166], [0.380, 0.380, 0.380], [0.380, 0.380, 0.861], [0.380, 0.861, 0.380], [0.497, 0.834, 0.834], [0.503, 0.166, 0.166], [0.620, 0.139, 0.620], [0.620, 0.620, 0.139], [0.620, 0.620, 0.620], [0.834, 0.497, 0.834], [0.834, 0.834, 0.497], [0.834, 0.834, 0.834], [0.861, 0.380, 0.380]], "final_energy_ev_per_fu": -105.725, "formation_energy_uncorrected_mev_per_atom": -735}

{"formula": "Ba2In3Hg6", "functional": "PBE", "state": "optimized geometry", "lattice": [[8.844, 0.000, 0.000], [-4.422, 7.659, 0.000], [0.000, 0.000, 5.028]], "species": ["Ba", "Ba", "In", "In", "In", "Hg", "Hg", "Hg", "Hg", "Hg", "Hg"], "fractional_positions": [[0.333, 0.667, 0.000], [0.667, 0.333, 0.000], [0.000, 0.645, 0.500], [0.355, 0.355, 0.500], [0.645, 0.000, 0.500], [0.000, 0.316, 0.500], [0.000, 0.807, 0.000], [0.193, 0.193, 0.000], [0.316, 0.000, 0.500], [0.684, 0.684, 0.500], [0.807, 0.000, 0.000]], "formation_energy_kj_per_mol_atoms": -27.26, "final_energy_ev_per_fu": -16.979, "e_above_lowest_polymorph_ev_per_atom": 0.000}

{"formula": "SbMoIr2", "functional": "PBE", "state": "optimized geometry", "lattice": [[5.619, 0.000, 0.000], [0.000, 7.959, 0.000], [0.000, 0.000, 2.924]], "species": ["Sb", "Sb", "Mo", "Mo", "Ir", "Ir", "Ir", "Ir"], "fractional_positions": [[0.000, 0.000, 0.000], [0.500, 0.500, 0.000], [0.000, 0.500, 0.000], [0.500, 0.000, 0.000], [0.250, 0.250, 0.500], [0.250, 0.750, 0.500], [0.750, 0.250, 0.500], [0.750, 0.750, 0.500]], "final_energy_ev_per_fu": -32.085, "formation_energy_uncorrected_mev_per_atom": 148}

{"formula": "LiTiGa", "functional": "PBE", "state": "optimized geometry", "lattice": [[4.605, 0.000, 0.000], [0.000, 14.503, 0.000], [0.000, 0.000, 2.991]], "species": ["Li", "Li", "Li", "Li", "Ti", "Ti", "Ti", "Ti", "Ga", "Ga", "Ga", "Ga"], "fractional_positions": [[0.000, 0.230, 0.250], [0.000, 0.770, 0.750], [0.500, 0.270, 0.750], [0.500, 0.730, 0.250], [0.000, 0.423, 0.750], [0.000, 0.577, 0.250], [0.500, 0.077, 0.250], [0.500, 0.923, 0.750], [0.000, 0.079, 0.750], [0.000, 0.921, 0.250], [0.500, 0.421, 0.250], [0.500, 0.579, 0.750]], "formation_energy_kj_per_mol_atoms": -19.84, "final_energy_ev_per_fu": -13.452, "e_above_lowest_polymorph_ev_per_atom": 0.080}

{"formula": "DySc2", "functional": "PBE", "state": "optimized geometry", "lattice": [[6.699, 0.000, 0.000], [0.000, 4.752, 0.000], [0.000, 0.000, 10.034]], "species": ["Dy", "Dy", "Dy", "Dy", "Sc", "Sc", "Sc", "Sc", "Sc", "Sc", "Sc", "Sc"], "fractional_positions": [[0.128, 0.250, 0.086], [0.372, 0.750, 0.586], [0.628, 0.250, 0.414], [0.872, 0.750, 0.914], [0.121, 0.250, 0.747], [0.125, 0.250, 0.417], [0.375, 0.750, 0.917], [0.379, 0.750, 0.247], [0.621, 0.250, 0.753], [0.625, 0.250, 0.083], [0.875, 0.750, 0.583], [0.879, 0.750, 0.253]], "formation_energy_kj_per_mol_atoms": 5.18, "final_energy_ev_per_fu": -17.104, "e_above_lowest_polymorph_ev_per_atom": 0.030}

{"formula": "Sm12Dy6Th", "functional": "PBE", "state": "optimized geometry", "lattice": [[6.047, 3.491, 5.061], [-6.047, 3.491, 5.061], [0.000, -6.982, 5.061]], "species": ["Sm", "Sm", "Sm", "Sm", "Sm", "Sm", "Sm", "Sm", "Sm", "Sm", "Sm", "Sm", "Dy", "Dy", "Dy", "Dy", "Dy", "Dy", "Th"], "fractional_positions": [[0.014, 0.355, 0.200], [0.200, 0.014, 0.355], [0.220, 0.563, 0.463], [0.355, 0.200, 0.014], [0.437, 0.537, 0.780], [0.463, 0.220, 0.563], [0.537, 0.780, 0.437], [0.563, 0.463, 0.220], [0.645, 0.800, 0.986], [0.780, 0.437, 0.537], [0.800, 0.986, 0.645], [0.986, 0.645, 0.800], [0.096, 0.255, 0.699], [0.255, 0.699, 0.096], [0.301, 0.904, 0.745], [0.699, 0.096, 0.255], [0.745, 0.301, 0.904], [0.904, 0.745, 0.301], [0.000, 0.000, 0.000]], "formation_energy_kj_per_mol_atoms": 12.95, "final_energy_ev_per_fu": -89.113, "e_above_lowest_polymorph_ev_per_atom": 0.005}

{"formula": "TaTi2GeAu", "functional": "PBE", "state": "optimized geometry", "lattice": [[4.758, 0.000, 0.000], [0.000, 4.758, 0.000], [0.000, 0.000, 5.174]], "species": ["Ta", "Ti", "Ti", "Ge", "Au"], "fractional_positions": [[0.000, 0.000, 0.000], [0.000, 0.500, 0.000], [0.500, 0.000, 0.000], [0.500, 0.500, 0.500], [0.000, 0.000, 0.500]], "formation_energy_kj_per_mol_atoms": 102.71, "final_energy_ev_per_fu": -30.214}

{"formula": "Cs2TlGa2", "functional": "PBE", "state": "optimized geometry", "lattice": [[3.267, -8.683, 0.000], [3.267, 8.683, 0.000], [-3.260, 0.000, 7.517]], "species": ["Cs", "Cs", "Cs", "Cs", "Tl", "Tl", "Ga", "Ga", "Ga", "Ga"], "fractional_positions": [[0.013, 0.297, 0.310], [0.297, 0.013, 0.310], [0.703, 0.987, 0.690], [0.987, 0.703, 0.690], [0.356, 0.644, 0.000], [0.644, 0.356, 0.000], [0.203, 0.203, 0.000], [0.386, 0.386, 0.771], [0.614, 0.614, 0.229], [0.797, 0.797, 0.000]], "formation_energy_kj_per_mol_atoms": -10.78, "final_energy_ev_per_fu": -10.686, "e_above_lowest_polymorph_ev_per_atom": 0.000}